Entry 1:
Computed, not measured: crystalline Zr2FeCo at its relaxed geometry at the PBE-GGA level of DFT.

Values from the calculation:
distance to the lowest polymorph of the same formula	33.76	kJ per mole of atoms
spin magnetization	0.2824	μB/atom
DFT formation energy	0.440	eV/f.u.
DFT total energy	-8.0562	eV/atom
crystal system	trigonal
DOS at the Fermi energy	0.808	states/eV/atom

Cell lengths 7.6438, 7.6438, 7.6438 Å; angles 24.65, 24.65, 24.65 degrees
Atoms (fractional coordinates):
1 Zr 0.2484 0.2484 0.2484
2 Zr 0.7516 0.7516 0.7516
3 Fe 0.0000 0.0000 0.0000
4 Co 0.5000 0.5000 0.5000



Entry 2:
Computed, not measured: crystalline Li6Hg at its relaxed geometry at the PBE-GGA level of DFT.

Values from the calculation:
distance to the lowest polymorph of the same formula	0.00	kJ per mole of atoms
spin magnetization	0.0000	μB/atom
DFT formation energy	-1.079	eV/f.u.
DFT total energy	-1.8376	eV/atom
crystal system	trigonal
DOS at the Fermi energy	0.427	states/eV/atom

Cell lengths 7.3185, 7.3185, 7.3185 Å; angles 37.22, 37.22, 37.22 degrees
Atoms (fractional coordinates):
1 Li 0.0759 0.0759 0.0759
2 Li 0.2125 0.2125 0.2125
3 Li 0.3613 0.3613 0.3613
4 Li 0.6387 0.6387 0.6387
5 Li 0.7875 0.7875 0.7875
6 Li 0.9241 0.9241 0.9241
7 Hg 0.5000 0.5000 0.5000



Entry 3:
Computed, not measured: crystalline CaIn2SbF at its relaxed geometry at the PBE-GGA level of DFT.

Values from the calculation:
energy relative to the elements, uncorrected	168	meV/atom
spin magnetization	0.0000	μB/atom
DFT total energy	-2.5263	eV/atom
crystal system	tetragonal
DOS at the Fermi energy	0.220	states/eV/atom

Cell lengths 6.3427, 6.3427, 5.5826 Å; angles 90.00, 90.00, 90.00 degrees
Atoms (fractional coordinates):
1 Ca 0.0000 0.0000 0.0000
2 In 0.0000 0.5000 0.0000
3 In 0.5000 0.0000 0.0000
4 Sb 0.0000 0.0000 0.5000
5 F 0.5000 0.5000 0.5000



Entry 4:
Computed, not measured: crystalline NbF at its relaxed geometry at the PBE-GGA level of DFT.

Values from the calculation:
distance to the lowest polymorph of the same formula	23.55	kJ per mole of atoms
energy relative to the elements, uncorrected	-1394	meV/atom
spin magnetization	0.0000	μB/atom
DFT total energy	-7.3644	eV/atom
crystal system	orthorhombic
DOS at the Fermi energy	0.408	states/eV/atom

Cell lengths 5.9690, 5.8715, 4.9268 Å; angles 66.45, 64.38, 49.17 degrees
Atoms (fractional coordinates):
1 Nb 0.0553 0.6947 0.0553
2 Nb 0.3053 0.9447 0.3053
3 Nb 0.6947 0.0553 0.6947
4 Nb 0.9447 0.3053 0.9447
5 F 0.2488 0.2488 0.5012
6 F 0.4988 0.4988 0.7512
7 F 0.5012 0.5012 0.2488
8 F 0.7512 0.7512 0.4988



Entry 5:
Computed, not measured: crystalline NaSrS3 at its relaxed geometry at the PBE-GGA level of DFT.

Values from the calculation:
distance to the lowest polymorph of the same formula	8.71	kJ per mole of atoms
energy relative to the elements, uncorrected	-257	meV/atom
spin magnetization	0.6000	μB/atom
DFT total energy	-3.3333	eV/atom
crystal system	cubic
DOS at the Fermi energy	0.401	states/eV/atom

Cell lengths 5.6540, 5.6540, 5.6540 Å; angles 90.00, 90.00, 90.00 degrees
Atoms (fractional coordinates):
1 Na 0.0000 0.0000 0.0000
2 Sr 0.5000 0.5000 0.5000
3 S 0.0000 0.5000 0.5000
4 S 0.5000 0.0000 0.5000
5 S 0.5000 0.5000 0.0000



Entry 6:
Computed, not measured: crystalline Pa5Mn2Sb2 at its relaxed geometry at the PBE-GGA level of DFT.

Values from the calculation:
energy relative to the elements, uncorrected	-234	meV/atom
spin magnetization	0.0000	μB/atom
DFT total energy	-8.4631	eV/atom
crystal system	orthorhombic
DOS at the Fermi energy	1.098	states/eV/atom

Cell lengths 8.6705, 8.6705, 7.0083 Å; angles 90.00, 90.00, 54.60 degrees
Atoms (fractional coordinates):
1 Pa 0.0000 0.0000 0.0000
2 Pa 0.0603 0.7146 0.6498
3 Pa 0.2146 0.5603 0.1498
4 Pa 0.2854 0.9397 0.6498
5 Pa 0.4397 0.7854 0.1498
6 Pa 0.5000 0.5000 0.5000
7 Pa 0.5603 0.2146 0.8502
8 Pa 0.7146 0.0603 0.3502
9 Pa 0.7854 0.4397 0.8502
10 Pa 0.9397 0.2854 0.3502
11 Mn 0.1070 0.8930 0.3312
12 Mn 0.3930 0.6070 0.8312
13 Mn 0.6070 0.3930 0.1688
14 Mn 0.8930 0.1070 0.6688
15 Sb 0.2115 0.2115 0.0000
16 Sb 0.2885 0.2885 0.5000
17 Sb 0.7115 0.7115 0.5000
18 Sb 0.7885 0.7885 0.0000



Entry 7:
Computed, not measured: crystalline TbThZnOs at its relaxed geometry at the PBE-GGA level of DFT.

Values from the calculation:
spin magnetization	0.0000	μB/atom
DFT formation energy	-0.973	eV/f.u.
DFT total energy	-6.3816	eV/atom
crystal system	cubic
DOS at the Fermi energy	0.533	states/eV/atom

Cell lengths 5.0296, 5.0296, 5.0296 Å; angles 60.00, 60.00, 60.00 degrees
Atoms (fractional coordinates):
1 Tb 0.0000 0.0000 0.0000
2 Th 0.5000 0.5000 0.5000
3 Zn 0.7500 0.7500 0.7500
4 Os 0.2500 0.2500 0.2500



Entry 8:
Computed, not measured: crystalline Li2AcRhF8 at its relaxed geometry at the PBE-GGA level of DFT.

Values from the calculation:
energy relative to the elements, uncorrected	-2818	meV/atom
spin magnetization	0.0154	μB/atom
DFT total energy	-5.3400	eV/atom
crystal system	trigonal
DOS at the Fermi energy	0.000	states/eV/atom

Cell lengths 7.3673, 7.3673, 7.3673 Å; angles 39.37, 39.37, 39.37 degrees
Atoms (fractional coordinates):
1 Li 0.2300 0.2300 0.2300
2 Li 0.7700 0.7700 0.7700
3 Ac 0.0000 0.0000 0.0000
4 Rh 0.5000 0.5000 0.5000
5 F 0.1431 0.7863 0.3954
6 F 0.2137 0.6046 0.8569
7 F 0.3226 0.3226 0.3226
8 F 0.3954 0.1431 0.7863
9 F 0.6046 0.8569 0.2137
10 F 0.6774 0.6774 0.6774
11 F 0.7863 0.3954 0.1431
12 F 0.8569 0.2137 0.6046



Entry 9:
Computed, not measured: crystalline NaSnTeH2 at its relaxed geometry at the PBE-GGA level of DFT.

Values from the calculation:
spin magnetization	0.0000	μB/atom
DFT total energy	-2.7381	eV/atom
crystal system	tetragonal
DOS at the Fermi energy	0.282	states/eV/atom

Cell lengths 4.1747, 4.1747, 6.4070 Å; angles 90.00, 90.00, 90.00 degrees
Atoms (fractional coordinates):
1 Na 0.0000 0.0000 0.0000
2 Sn 0.5000 0.5000 0.0000
3 Te 0.5000 0.5000 0.5000
4 H 0.0000 0.5000 0.5000
5 H 0.5000 0.0000 0.5000



Entry 10:
Computed, not measured: crystalline V8Si2C at its relaxed geometry at the PBE-GGA level of DFT.

Values from the calculation:
energy relative to the elements, uncorrected	-293	meV/atom
spin magnetization	0.0000	μB/atom
DFT total energy	-8.7493	eV/atom
crystal system	monoclinic
DOS at the Fermi energy	0.715	states/eV/atom

Cell lengths 7.2812, 7.2812, 5.0971 Å; angles 108.66, 108.66, 32.85 degrees
Atoms (fractional coordinates):
1 V 0.0012 0.0012 0.2649
2 V 0.2198 0.2198 0.6187
3 V 0.3648 0.3648 0.2361
4 V 0.4137 0.4137 0.7920
5 V 0.5863 0.5863 0.2080
6 V 0.6352 0.6352 0.7639
7 V 0.7802 0.7802 0.3813
8 V 0.9988 0.9988 0.7351
9 Si 0.1691 0.1691 0.1012
10 Si 0.8309 0.8309 0.8988
11 C 0.5000 0.5000 0.5000



Entry 11:
Computed, not measured: crystalline CaV2Cl at its relaxed geometry at the PBE-GGA level of DFT.

Values from the calculation:
distance to the lowest polymorph of the same formula	75.01	kJ per mole of atoms
energy relative to the elements, uncorrected	992	meV/atom
spin magnetization	2.2249	μB/atom
DFT total energy	-4.5295	eV/atom
crystal system	cubic
DOS at the Fermi energy	1.475	states/eV/atom

Cell lengths 5.1143, 5.1143, 5.1143 Å; angles 60.00, 60.00, 60.00 degrees
Atoms (fractional coordinates):
1 Ca 0.0000 0.0000 0.0000
2 V 0.2500 0.2500 0.2500
3 V 0.7500 0.7500 0.7500
4 Cl 0.5000 0.5000 0.5000



Entry 12:
Computed, not measured: crystalline MoOsPt at its relaxed geometry at the PBE-GGA level of DFT.

Values from the calculation:
distance to the lowest polymorph of the same formula	0.00	kJ per mole of atoms
spin magnetization	0.0000	μB/atom
DFT formation energy	-0.617	eV/f.u.
DFT total energy	-9.5727	eV/atom
crystal system	orthorhombic
DOS at the Fermi energy	0.854	states/eV/atom

Cell lengths 7.4483, 7.4483, 4.4433 Å; angles 90.00, 90.00, 158.48 degrees
Atoms (fractional coordinates):
1 Mo 0.1151 0.8849 0.7500
2 Mo 0.8849 0.1151 0.2500
3 Os 0.2250 0.7750 0.2500
4 Os 0.7750 0.2250 0.7500
5 Pt 0.4436 0.5564 0.7500
6 Pt 0.5564 0.4436 0.2500



Number 1 is which compound?
Zr2FeCo